Compound: Zn2GaFe2Ni5
Source: Alexandria
Functional: PBE
Structure: relaxed

Its calculated volume is 12.8 Å³/atom. The energy relative to the elements comes out at 51 meV per atom.

It has space group P4/mbm (No. 127), with a = 8.277 Å, b = 8.277 Å, c = 3.729 Å, α = 90.00°, β = 90.00° and γ = 90.00°. The asymmetric unit holds Zn at (0.175, 0.325, 0.000), Ga at (0.000, 0.000, 0.000), Fe at (0.120, 0.620, 0.000), Ni at (0.000, 0.500, 0.500) and Ni at (0.080, 0.802, 0.500).